1 | MgHg2Br | PBEsol | relaxed

Computed properties:
Its space-group type is Cmm2.

Lattice parameters (Å, degrees): 3.398 3.398 8.392 90.00 90.00 88.47
Atoms (fractional coordinates):
Mg  0.000  0.000  0.498
Hg  0.000  0.000  0.971
Br  0.500  0.500  0.314
Hg  0.500  0.500  0.717



2 | MgHg2Br | PBEsol | relaxed

Computed properties:
Its space-group type is I4/mmm.

Lattice parameters (Å, degrees): 4.126 4.126 6.557 108.34 108.34 90.00
Atoms (fractional coordinates):
Br  0.000  0.000  0.000
Hg  0.750  0.250  0.500
Hg  0.250  0.750  0.500
Mg  0.500  0.500  0.000



Of them, 1 has the highest stability.



1 | Mn2HgBr | PBEsol | relaxed

Computed properties:
Its space-group type is F-43m.

Lattice parameters (Å, degrees): 4.695 4.695 4.695 60.00 60.00 60.00
Last column: magnetic moment on the atom in μB.
Atoms (fractional coordinates):
Br  0.500  0.500  0.500  -0.01
Mn  0.750  0.750  0.750  3.41
Mn  0.000  0.000  0.000  3.44
Hg  0.250  0.250  0.250  -0.08



2 | Mn2HgBr | PBEsol | relaxed

Computed properties:
Its space-group type is P4mm.

Lattice parameters (Å, degrees): 3.162 4.878 4.878 90.00 90.00 90.00
Last column: magnetic moment on the atom in μB.
Atoms (fractional coordinates):
Br  0.344  0.500  0.500  0.04
Mn  0.206  0.500  0.000  3.73
Mn  0.206  0.000  0.500  3.73
Hg  0.730  0.000  0.000  -0.06



Of them, 2 has the highest stability.



1 | HgMo2Br | PBEsol | relaxed

Computed properties:
Its space-group type is Fm-3m.

Lattice parameters (Å, degrees): 4.553 4.553 4.552 120.01 120.01 90.00
Atoms (fractional coordinates):
Mo  0.250  0.750  0.500
Br  0.500  0.500  0.000
Mo  0.750  0.250  0.500
Hg  0.000  0.000  0.000



2 | HgMo2Br | PBEsol | relaxed

Computed properties:
Its space-group type is P4mm.

Lattice parameters (Å, degrees): 3.155 3.155 7.890 90.00 90.00 90.00
Atoms (fractional coordinates):
Hg  0.500  0.500  0.799
Mo  0.000  0.000  0.046
Mo  0.500  0.500  0.213
Br  0.000  0.000  0.443



3 | HgMo2Br | PBEsol | relaxed

Computed properties:
Its space-group type is P2/m.

Lattice parameters (Å, degrees): 3.412 4.809 5.290 90.00 95.11 90.00
Atoms (fractional coordinates):
Mo  0.688  0.000  0.841
Hg  0.000  0.500  0.000
Br  0.500  0.500  0.500
Mo  0.312  0.000  0.159



Of them, 2 has the highest stability.



1 | NbHgBr2 | PBEsol | relaxed

Computed properties:
Its space-group type is Fm-3m.

Lattice parameters (Å, degrees): 5.013 5.013 5.013 60.00 60.00 60.00
Last column: magnetic moment on the atom in μB.
Atoms (fractional coordinates):
Br  0.750  0.750  0.750  -0.04
Br  0.250  0.250  0.250  -0.04
Nb  0.000  0.000  0.000  2.33
Hg  0.500  0.500  0.500  0.00



2 | NbHgBr2 | PBEsol | relaxed

Computed properties:
Its space-group type is R-3m.

Lattice parameters (Å, degrees): 3.299 3.299 10.876 81.28 81.28 60.00
Atoms (fractional coordinates):
Br  0.109  0.109  0.673
Br  0.891  0.891  0.327
Hg  0.000  0.000  0.000
Nb  0.500  0.500  0.500



Of them, 2 has the highest stability.



1 | Ni3HgBr | PBEsol | relaxed

Computed properties:
Its space-group type is Pm-3m.

Lattice parameters (Å, degrees): 4.722 4.722 4.722 90.00 90.00 90.00
Last column: magnetic moment on the atom in μB.
Atoms (fractional coordinates):
Ni  0.500  0.000  0.000  0.51
Ni  0.000  0.500  0.000  0.51
Hg  0.000  0.000  0.000  -0.02
Ni  0.000  0.000  0.500  0.51
Br  0.500  0.500  0.500  0.07



2 | Ni3HgBr | PBEsol | relaxed

Computed properties:
Its space-group type is Pm-3m.

Lattice parameters (Å, degrees): 4.332 4.332 4.332 90.00 90.00 90.00
Atoms (fractional coordinates):
Br  0.000  0.000  0.000
Ni  0.500  0.000  0.000
Ni  0.000  0.500  0.000
Hg  0.500  0.500  0.500
Ni  0.000  0.000  0.500



Of them, 2 has the highest stability.



1 | HgOsBr2 | PBEsol | relaxed

Computed properties:
Its space-group type is F-43m.

Lattice parameters (Å, degrees): 4.880 4.880 4.880 60.00 60.00 60.00
Last column: magnetic moment on the atom in μB.
Atoms (fractional coordinates):
Br  0.750  0.750  0.750  0.20
Os  0.250  0.250  0.250  1.92
Hg  0.500  0.500  0.500  0.01
Br  0.000  0.000  0.000  0.13



2 | HgOsBr2 | PBEsol | relaxed

Computed properties:
Its space-group type is Immm.

Lattice parameters (Å, degrees): 3.078 4.808 7.107 109.77 102.51 90.00
Atoms (fractional coordinates):
Br  0.656  0.656  0.312
Hg  0.500  0.000  0.000
Os  0.000  0.500  0.000
Br  0.344  0.344  0.688



Of them, 2 has the highest stability.



1 | HgPtBr | PBEsol | relaxed

Computed properties:
Its space-group type is Fmm2.

Lattice parameters (Å, degrees): 3.367 3.324 6.637 82.62 75.30 59.58
Atoms (fractional coordinates):
Pt  0.664  0.000  0.671
Br  0.010  0.000  0.980
Hg  0.326  0.000  0.349



2 | HgPtBr | PBEsol | relaxed

Computed properties:
Its space-group type is F-43m.

Lattice parameters (Å, degrees): 4.558 4.558 4.558 60.00 60.00 60.00
Atoms (fractional coordinates):
Br  0.000  0.000  0.000
Hg  0.500  0.500  0.500
Pt  0.250  0.250  0.250



Of them, 2 has the highest stability.



1 | Re2HgBr | PBEsol | relaxed

Computed properties:
Its space-group type is P4/mmm.

Lattice parameters (Å, degrees): 4.572 4.572 3.128 90.00 90.00 90.00
Atoms (fractional coordinates):
Br  0.500  0.500  0.500
Re  0.000  0.500  0.000
Hg  0.000  0.000  0.500
Re  0.500  0.000  0.000



2 | Re2HgBr | PBEsol | relaxed

Computed properties:
Its space-group type is P2/m.

Lattice parameters (Å, degrees): 3.642 4.755 5.057 90.00 96.50 90.00
Atoms (fractional coordinates):
Br  0.500  0.500  0.500
Re  0.701  0.000  0.846
Re  0.299  0.000  0.154
Hg  0.000  0.500  0.000



3 | Re2HgBr | PBEsol | relaxed

Computed properties:
Its space-group type is Cmmm.

Lattice parameters (Å, degrees): 2.845 4.911 4.911 103.47 90.00 90.00
Atoms (fractional coordinates):
Br  0.500  0.000  0.000
Hg  0.500  0.500  0.500
Re  0.000  0.000  0.500
Re  0.000  0.500  0.000



Of them, 2 has the highest stability.



1 | ReHg2Br | PBEsol | relaxed

Computed properties:
Its space-group type is I-4m2.

Lattice parameters (Å, degrees): 4.264 4.264 5.300 113.72 113.72 90.00
Last column: magnetic moment on the atom in μB.
Atoms (fractional coordinates):
Re  0.500  0.500  0.000  1.94
Hg  0.000  0.000  0.000  -0.02
Br  0.250  0.750  0.500  0.07
Hg  0.750  0.250  0.500  0.00



2 | ReHg2Br | PBEsol | relaxed

Computed properties:
Its space-group type is F-43m.

Lattice parameters (Å, degrees): 4.814 4.814 4.814 60.00 60.00 60.00
Last column: magnetic moment on the atom in μB.
Atoms (fractional coordinates):
Re  0.250  0.250  0.250  2.03
Hg  0.000  0.000  0.000  0.04
Br  0.500  0.500  0.500  0.03
Hg  0.750  0.750  0.750  -0.01



Of them, 1 has the highest stability.



1 | Hg2RuBr | PBEsol | relaxed

Computed properties:
Its space-group type is Fm-3m.

Lattice parameters (Å, degrees): 4.832 4.832 4.832 60.00 60.00 60.00
Last column: magnetic moment on the atom in μB.
Atoms (fractional coordinates):
Hg  0.750  0.750  0.750  -0.01
Br  0.000  0.000  0.000  0.04
Ru  0.500  0.500  0.500  0.86
Hg  0.250  0.250  0.250  -0.01



2 | Hg2RuBr | PBEsol | relaxed

Computed properties:
Its space-group type is Cmm2.

Lattice parameters (Å, degrees): 2.977 3.124 10.124 90.00 90.00 118.45
Atoms (fractional coordinates):
Hg  0.500  0.000  0.282
Ru  0.000  0.000  0.510
Br  0.500  0.000  0.698
Hg  0.000  0.000  0.010



Of them, 2 has the highest stability.



1 | Hg2RuBr | PBEsol | relaxed

Computed properties:
Its space-group type is I4/mmm.

Lattice parameters (Å, degrees): 3.988 3.988 5.564 111.00 111.00 90.00
Atoms (fractional coordinates):
Hg  0.750  0.250  0.500
Hg  0.250  0.750  0.500
Br  0.000  0.000  0.000
Ru  0.500  0.500  0.000



2 | Hg2RuBr | PBEsol | relaxed

Computed properties:
Its space-group type is P4/mmm.

Lattice parameters (Å, degrees): 3.183 3.183 8.026 90.00 90.00 90.01
Last column: magnetic moment on the atom in μB.
Atoms (fractional coordinates):
Ru  0.500  0.500  0.500  0.99
Hg  0.000  0.000  0.711  0.01
Hg  0.000  0.000  0.289  0.01
Br  0.500  0.500  0.000  0.01



Of them, 2 has the highest stability.



1 | HgRuBr | PBEsol | relaxed

Computed properties:
Its space-group type is Fmm2.

Lattice parameters (Å, degrees): 3.004 3.138 7.268 84.32 78.07 61.40
Atoms (fractional coordinates):
Hg  0.319  0.000  0.362
Br  0.023  0.000  0.954
Ru  0.658  0.000  0.685



2 | HgRuBr | PBEsol | relaxed

Computed properties:
Its space-group type is F-43m.

Lattice parameters (Å, degrees): 4.676 4.676 4.676 60.00 60.00 60.00
Last column: magnetic moment on the atom in μB.
Atoms (fractional coordinates):
Hg  0.250  0.250  0.250  -0.03
Ru  0.000  0.000  0.000  1.88
Br  0.500  0.500  0.500  0.06



Of them, 1 has the highest stability.



1 | HgRu2Br | PBEsol | relaxed

Computed properties:
Its space-group type is Pmmm.

Lattice parameters (Å, degrees): 2.912 4.557 5.113 90.00 90.00 90.00
Last column: magnetic moment on the atom in μB.
Atoms (fractional coordinates):
Ru  0.000  0.000  0.000  0.30
Hg  0.000  0.500  0.500  0.00
Ru  0.500  0.000  0.500  0.54
Br  0.500  0.500  0.000  0.01



2 | HgRu2Br | PBEsol | relaxed

Computed properties:
Its space-group type is I-4m2.

Lattice parameters (Å, degrees): 4.085 4.085 4.943 114.40 114.40 90.00
Last column: magnetic moment on the atom in μB.
Atoms (fractional coordinates):
Ru  0.000  0.000  0.000  0.61
Br  0.500  0.500  0.000  0.01
Ru  0.750  0.250  0.500  0.80
Hg  0.250  0.750  0.500  0.01



Of them, 1 has the highest stability.



1 | HgSbBr2 | PBEsol | relaxed

Computed properties:
Its space-group type is P4/mmm.

Lattice parameters (Å, degrees): 3.795 5.161 5.161 90.00 90.00 90.00
Atoms (fractional coordinates):
Hg  0.500  0.500  0.500
Br  0.000  0.500  0.000
Br  0.000  0.000  0.500
Sb  0.500  0.000  0.000



2 | HgSbBr2 | PBEsol | relaxed

Computed properties:
Its space-group type is Imm2.

Lattice parameters (Å, degrees): 3.479 4.961 7.133 110.35 104.11 90.00
Atoms (fractional coordinates):
Br  0.745  0.245  0.490
Br  0.944  0.944  0.888
Sb  0.254  0.754  0.508
Hg  0.557  0.557  0.114



Of them, 2 has the highest stability.